## SiTc2As (GGA-PBE)

Data for a relaxed SiTc2As crystal.

Unit cell a=6.183 b=6.183 c=6.183 alpha=90.00 beta=90.00 gamma=90.00
Space group F-43m (No. 216)
Symmetry-distinct sites (fractional):
Si (0.000, 0.000, 0.000) [4 per cell]
Tc (0.000, 0.000, 0.500) [4 per cell]
Tc (0.250, 0.250, 0.250) [4 per cell]
As (0.250, 0.250, 0.750) [4 per cell]

Summary:
formation energy from raw total energies	235	meV/atom
energy relative to the lowest polymorph listed for this composition	519	meV per atom
DOS(E_F)	2.702	states/eV/f.u.

## SiTc2As (GGA-PBE)

Data for a relaxed SiTc2As crystal.

Unit cell a=3.185 b=3.185 c=5.667 alpha=90.00 beta=90.00 gamma=90.00
Space group P4mm (No. 99)
Symmetry-distinct sites (fractional):
Si (0.000, 0.000, 0.000) [1 per cell]
Tc (0.000, 0.000, 0.523) [1 per cell]
Tc (0.500, 0.500, 0.173) [1 per cell]
As (0.500, 0.500, 0.719) [1 per cell]

Summary:
formation energy from raw total energies	-216	meV/atom
energy relative to the lowest polymorph listed for this composition	68	meV per atom
DOS(E_F)	2.929	states/eV/f.u.

## SiTc2As (GGA-PBE)

Data for a relaxed SiTc2As crystal.

Unit cell a=6.046 b=6.046 c=6.046 alpha=90.00 beta=90.00 gamma=90.00
Space group Fm-3m (No. 225)
Symmetry-distinct sites (fractional):
Si (0.000, 0.000, 0.000) [4 per cell]
Tc (0.250, 0.250, 0.250) [8 per cell]
As (0.000, 0.000, 0.500) [4 per cell]

Summary:
formation energy from raw total energies	-235	meV/atom
energy relative to the lowest polymorph listed for this composition	49	meV per atom
DOS(E_F)	1.983	states/eV/f.u.

## SiTc4As (GGA-PBE)

Data for a relaxed SiTc4As crystal.

Unit cell a=7.255 b=7.255 c=7.255 alpha=90.00 beta=90.00 gamma=90.00
Space group F-43m (No. 216)
Symmetry-distinct sites (fractional):
Si (0.000, 0.000, 0.000) [4 per cell]
Tc (0.125, 0.125, 0.625) [16 per cell]
As (0.250, 0.250, 0.250) [4 per cell]

Summary:
formation energy from raw total energies	534	meV/atom
DOS(E_F)	6.034	states/eV/f.u.